(1)
Compound: HfTiRh2C
Source: Alexandria via LeMat-Bulk
Functional: PBE
Structure: relaxed

Output
For the total moment, the calculation gives 0.000 Bohr magnetons per cell. Its density is 10.04 g cm⁻³. As for the total energy: -8.60 eV per atom. The space group is P4/mmm.

a = 4.0822 Å, b = 4.0822 Å, c = 4.4094 Å
α = 90.00°, β = 90.00°, γ = 90.00°
With the nearest neighbours (Å) after each atom.
Sites, in units of the cell vectors:
Hf  0.0000  0.0000  0.0000  2 C 2.20
Ti  0.5000  0.5000  0.0000  4 Hf 2.89, 8 Rh 3.00
Rh  0.0000  0.5000  0.5000  2 C 2.04
Rh  0.5000  0.0000  0.5000  2 C 2.04
C  0.0000  0.0000  0.5000  4 Rh 2.04, 2 Hf 2.20



(2)
Compound: Pu2HgPd8
Source: Alexandria via LeMat-Bulk
Functional: PBE
Structure: relaxed

Output
For the total moment, the calculation gives 10.162 Bohr magnetons per cell. Its density is 13.10 g cm⁻³. As for the total energy: -6.75 eV per atom. The space group is C2/m.

a = 7.6421 Å, b = 7.6421 Å, c = 6.5490 Å
α = 105.25°, β = 105.25°, γ = 32.03°
With the nearest neighbours (Å) after each atom.
Sites, in units of the cell vectors:
Pu  0.2203  0.2203  0.1508  10 Pd 2.80-3.04
Pu  0.7797  0.7797  0.8492  10 Pd 2.80-3.04
Hg  0.5000  0.5000  0.5000  12 Pd 2.83-2.96
Pd  0.0408  0.0408  0.2214  1 Pu 2.80, 9 Pd 2.82-2.97, 2 Hg 2.96
Pd  0.1399  0.1399  0.6762  7 Pd 2.88-2.98, 3 Pu 2.95-3.01, 2 Hg 2.95
Pd  0.3239  0.3239  0.5989  1 Hg 2.83, 3 Pu 2.85-2.91, 8 Pd 2.88-3.05
Pd  0.4110  0.4110  0.0519  8 Pd 2.86-2.98, 1 Hg 2.87, 3 Pu 2.92-3.04
Pd  0.5890  0.5890  0.9481  8 Pd 2.86-2.98, 1 Hg 2.87, 3 Pu 2.92-3.04
Pd  0.6762  0.6762  0.4011  1 Hg 2.83, 3 Pu 2.85-2.91, 8 Pd 2.88-3.05
Pd  0.8601  0.8601  0.3238  7 Pd 2.88-2.98, 3 Pu 2.95-3.01, 2 Hg 2.95
Pd  0.9592  0.9592  0.7786  1 Pu 2.80, 9 Pd 2.82-2.97, 2 Hg 2.96



(3)
Compound: CsRbZn
Source: Alexandria via LeMat-Bulk
Functional: PBE
Structure: relaxed

Output
For the total moment, the calculation gives 0.000 Bohr magnetons per cell. Its density is 2.43 g cm⁻³. As for the total energy: -0.93 eV per atom. The space group is Cmce. The calculation puts the energy above the lowest structure with this stoichiometry at 0 meV/atom.

a = 9.5417 Å, b = 9.5417 Å, c = 9.9359 Å
α = 90.00°, β = 90.00°, γ = 121.13°
With the nearest neighbours (Å) after each atom.
Sites, in units of the cell vectors:
Cs  0.2017  0.7983  0.8836  2 Zn 4.01-4.03
Cs  0.2983  0.7017  0.3836  2 Zn 4.01-4.03
Cs  0.7017  0.2983  0.6164  2 Zn 4.01-4.03
Cs  0.7983  0.2017  0.1164  2 Zn 4.01-4.03
Rb  0.2089  0.2911  0.7500  4 Zn 3.70-3.74
Rb  0.2911  0.2089  0.2500  4 Zn 3.70-3.74
Rb  0.7089  0.7911  0.7500  4 Zn 3.70-3.74
Rb  0.7911  0.7089  0.2500  4 Zn 3.70-3.74
Zn  0.0753  0.9247  0.5375  1 Zn 2.61
Zn  0.4247  0.5753  0.0375  1 Zn 2.61
Zn  0.5753  0.4247  0.9625  1 Zn 2.61
Zn  0.9247  0.0753  0.4625  1 Zn 2.61



(4)
Compound: TiSbI2F
Source: Alexandria via LeMat-Bulk
Functional: PBE
Structure: relaxed

Output
For the total moment, the calculation gives 0.282 Bohr magnetons per cell. Its density is 5.32 g cm⁻³. As for the total energy: -3.32 eV per atom. The space group is P4/mmm. The calculation puts the energy above the lowest structure with this stoichiometry at 373 meV/atom.

a = 5.7023 Å, b = 5.7023 Å, c = 4.2453 Å
α = 90.00°, β = 90.00°, γ = 90.00°
With the nearest neighbours (Å) after each atom.
Sites, in units of the cell vectors:
Ti  0.0000  0.0000  0.0000  8 I 3.55
Sb  0.5000  0.5000  0.0000  2 F 2.12
I  0.0000  0.5000  0.5000  2 F 2.85
I  0.5000  0.0000  0.5000  2 F 2.85
F  0.5000  0.5000  0.5000  2 Sb 2.12



(5)
Compound: SrYCo2
Source: Alexandria via LeMat-Bulk
Functional: PBE
Structure: relaxed

Output
For the total moment, the calculation gives 2.349 Bohr magnetons per cell. Its density is 5.16 g cm⁻³. As for the total energy: -5.35 eV per atom. The space group is P4/mmm. The calculation puts the energy above the lowest structure with this stoichiometry at 266 meV/atom.

a = 3.6888 Å, b = 3.6888 Å, c = 6.9568 Å
α = 90.00°, β = 90.00°, γ = 90.00°
With the nearest neighbours (Å) after each atom.
Sites, in units of the cell vectors:
Sr  0.0000  0.0000  0.0000  2 Y 3.48, 8 Co 3.49, 4 Sr 3.69
Y  0.0000  0.0000  0.5000  8 Co 2.85
Co  0.5000  0.5000  0.3334  1 Co 2.32
Co  0.5000  0.5000  0.6666  1 Co 2.32



(6)
Compound: MgCdBr
Source: Alexandria via LeMat-Bulk
Functional: PBE
Structure: relaxed

Output
For the total moment, the calculation gives 0.000 Bohr magnetons per cell. Its density is 4.17 g cm⁻³. As for the total energy: -1.90 eV per atom. The space group is Amm2. The calculation puts the energy above the lowest structure with this stoichiometry at 0 meV/atom.

a = 15.1604 Å, b = 3.6235 Å, c = 3.6235 Å
α = 60.13°, β = 90.00°, γ = 90.00°
With the nearest neighbours (Å) after each atom.
Sites, in units of the cell vectors:
Mg  0.1532  0.0000  0.0000  3 Br 2.68
Mg  0.8468  0.0000  0.0000  3 Br 2.68
Cd  0.0000  0.3352  0.3352  6 Mg 3.12-3.13
Cd  0.5000  0.0273  0.0273  6 Cd 3.62-3.63
Br  0.2633  0.3338  0.3338  3 Mg 2.68
Br  0.7367  0.3338  0.3338  3 Mg 2.68



(7)
Compound: NaOsRh3
Source: Alexandria via LeMat-Bulk
Functional: PBE
Structure: relaxed

Output
For the total moment, the calculation gives 0.017 Bohr magnetons per cell. Its density is 10.59 g cm⁻³. As for the total energy: -4.83 eV per atom. The space group is Pm-3m. The calculation puts the energy above the lowest structure with this stoichiometry at 1129 meV/atom.

a = 4.3410 Å, b = 4.3410 Å, c = 4.3410 Å
α = 90.00°, β = 90.00°, γ = 90.00°
With the nearest neighbours (Å) after each atom.
Sites, in units of the cell vectors:
Na  0.0000  0.0000  0.0000  6 Rh 2.17
Os  0.5000  0.5000  0.5000  12 Rh 3.07
Rh  0.0000  0.0000  0.5000  2 Na 2.17
Rh  0.0000  0.5000  0.0000  2 Na 2.17
Rh  0.5000  0.0000  0.0000  2 Na 2.17



(8)
Compound: NdGd2Lu
Source: Alexandria via LeMat-Bulk
Functional: PBE
Structure: relaxed

Output
For the total moment, the calculation gives 14.681 Bohr magnetons per cell. Its density is 8.16 g cm⁻³. As for the total energy: -9.34 eV per atom. The space group is P4/mmm. The calculation puts the energy above the lowest structure with this stoichiometry at 0 meV/atom.

a = 5.0431 Å, b = 5.0431 Å, c = 5.0693 Å
α = 90.00°, β = 90.00°, γ = 90.00°
With the nearest neighbours (Å) after each atom.
Sites, in units of the cell vectors:
Nd  0.0000  0.0000  0.0000  4 Lu 3.57, 8 Gd 3.58
Gd  0.0000  0.5000  0.5000  4 Gd 3.57, 4 Lu 3.58, 4 Nd 3.58
Gd  0.5000  0.0000  0.5000  4 Gd 3.57, 4 Lu 3.58, 4 Nd 3.58
Lu  0.5000  0.5000  0.0000  4 Nd 3.57, 8 Gd 3.58



(9)
Compound: CaYSe2Br
Source: Alexandria via LeMat-Bulk
Functional: PBE
Structure: relaxed

Output
For the total moment, the calculation gives 0.000 Bohr magnetons per cell. Its density is 3.99 g cm⁻³. As for the total energy: -4.38 eV per atom. The space group is P4/mmm. The calculation puts the energy above the lowest structure with this stoichiometry at 474 meV/atom.

a = 5.4438 Å, b = 5.4438 Å, c = 5.1517 Å
α = 90.00°, β = 90.00°, γ = 90.00°
With the nearest neighbours (Å) after each atom.
Sites, in units of the cell vectors:
Ca  0.0000  0.0000  0.0000  2 Br 2.58, 4 Se 2.72
Y  0.5000  0.5000  0.5000  8 Se 3.75, 4 Br 3.85
Se  0.0000  0.5000  0.0000  2 Ca 2.72
Se  0.5000  0.0000  0.0000  2 Ca 2.72
Br  0.0000  0.0000  0.5000  2 Ca 2.58



(10)
Compound: Ac2PrTmSb4
Source: Alexandria via LeMat-Bulk
Functional: PBE
Structure: relaxed

Output
For the total moment, the calculation gives 0.000 Bohr magnetons per cell. Its density is 7.41 g cm⁻³. As for the total energy: -5.39 eV per atom. The space group is P2/m.

a = 8.0117 Å, b = 4.6303 Å, c = 8.0122 Å
α = 90.00°, β = 109.48°, γ = 90.00°
With the nearest neighbours (Å) after each atom.
Sites, in units of the cell vectors:
Ac  0.0000  0.0000  0.0000  6 Sb 3.39
Ac  0.5000  0.5000  0.0000  6 Sb 3.33
Pr  0.0000  0.5000  0.5000  6 Sb 3.22
Tm  0.5000  0.0000  0.5000  6 Sb 3.15-3.16
Sb  0.2506  0.0000  0.7326  1 Tm 3.15, 2 Pr 3.22, 3 Ac 3.33-3.39
Sb  0.2636  0.5000  0.2718  2 Tm 3.16, 1 Pr 3.22, 3 Ac 3.33-3.39
Sb  0.7364  0.5000  0.7282  2 Tm 3.16, 1 Pr 3.22, 3 Ac 3.33-3.39
Sb  0.7494  0.0000  0.2674  1 Tm 3.15, 2 Pr 3.22, 3 Ac 3.33-3.39